Compound: Ho2Ga3Hg
Source: the Alexandria database
Functional: PBE-GGA
Structure: optimized geometry

a = 9.0030 Å, b = 8.5881 Å, c = 5.7929 Å
α = 74.70°, β = 66.94°, γ = 38.36°
Closest atoms and distances in Å follow each position.
Fractional coordinates of all 12 atoms:
Ho  0.2487  0.7513  0.7513  10 Ga 3.11-3.20, 2 Hg 3.16
Ho  0.2500  0.2500  0.2500  4 Hg 3.17, 8 Ga 3.19-3.20
Ho  0.7500  0.7500  0.7500  4 Hg 3.17, 8 Ga 3.19-3.20
Ho  0.7513  0.2487  0.2487  10 Ga 3.11-3.20, 2 Hg 3.16
Ga  0.1745  0.6625  0.3375  2 Ga 2.54, 1 Hg 2.67
Ga  0.3375  0.8255  0.1745  2 Ga 2.54, 1 Hg 2.67
Ga  0.3380  0.3380  0.6620  2 Ga 2.54, 1 Hg 2.66
Ga  0.6620  0.6620  0.3380  2 Ga 2.54, 1 Hg 2.66
Ga  0.6625  0.1745  0.8255  2 Ga 2.54, 1 Hg 2.67
Ga  0.8255  0.3375  0.6625  2 Ga 2.54, 1 Hg 2.67
Hg  0.1669  0.1669  0.8331  3 Ga 2.66-2.67
Hg  0.8331  0.8331  0.1669  3 Ga 2.66-2.67

Values from the calculation:
energy	-3.628	eV/atom
energy above the lowest structure with this stoichiometry	0.015	eV/atom
E_form	-0.538	eV/atom
total magnetization	0.00	μB per formula unit

=====

Compound: LiCa2Ru
Source: the Alexandria database
Functional: PBE-GGA
Structure: optimized geometry

a = 3.8228 Å, b = 4.5098 Å, c = 5.8336 Å
α = 90.00°, β = 109.05°, γ = 90.00°
Closest atoms and distances in Å follow each position.
Fractional coordinates of all 4 atoms:
Li  0.0000  0.0000  0.0000  2 Ru 2.60, 2 Ca 2.88
Ca  0.4108  0.5000  0.8218  3 Ru 2.98-3.23, 4 Li 3.11-3.12
Ca  0.6943  0.0000  0.3899  2 Li 2.88, 4 Ru 3.07-3.08
Ru  0.1176  0.5000  0.2362  2 Li 2.60

Values from the calculation:
energy	-3.596	eV/atom
E_form	0.202	eV/atom
total magnetization	0.00	μB per formula unit

=====

Compound: TcW
Source: the Alexandria database
Functional: PBE-GGA
Structure: optimized geometry

a = 4.8828 Å, b = 4.8828 Å, c = 4.8828 Å
α = 132.53°, β = 132.53°, γ = 69.39°
Closest atoms and distances in Å follow each position.
Fractional coordinates of all 4 atoms:
Tc  0.3750  0.6250  0.7500  8 W 2.78-2.81, 4 Tc 2.81
Tc  0.6250  0.3750  0.2500  8 W 2.78-2.81, 4 Tc 2.81
W  0.1250  0.8750  0.2500  8 Tc 2.78-2.81, 4 W 2.81
W  0.8750  0.1250  0.7500  8 Tc 2.78-2.81, 4 W 2.81

Values from the calculation:
energy	-11.444	eV/atom
energy above the lowest structure with this stoichiometry	0.151	eV/atom
E_form	0.216	eV/atom
total magnetization	0.00	μB per formula unit